No. 1
# Na2UNbN4, relaxed, DFT PBE
data_Na2UNbN4
_cell_length_a 5.711
_cell_length_b 3.338
_cell_length_c 5.993
_cell_angle_alpha 90.00
_cell_angle_beta 107.94
_cell_angle_gamma 90.00
_space_group_name_H-M_alt 'P 1 2/m 1'
_space_group_IT_number 10
loop_
_space_group_symop_operation_xyz
'x,y,z'
'-x,-y,-z'
'-x,y,-z'
'x,-y,z'
loop_
_atom_site_label
_atom_site_type_symbol
_atom_site_fract_x
_atom_site_fract_y
_atom_site_fract_z
Na1 Na 0.000 0.000 0.000
Na2 Na 0.500 0.500 0.000
U1 U 0.000 0.500 0.500
Nb1 Nb 0.500 0.000 0.500
N1 N 0.240 0.000 0.691
N2 N 0.273 0.500 0.312
# uncorrected formation energy: -85.9 kJ per mole of atoms
# N(E_F): 0.4803 states/eV per atom

***

No. 2
# ReHI3, relaxed, DFT PBE
data_ReHI3
_cell_length_a 4.749
_cell_length_b 4.749
_cell_length_c 4.749
_cell_angle_alpha 90.00
_cell_angle_beta 90.00
_cell_angle_gamma 90.00
_space_group_name_H-M_alt 'P m -3 m'
_space_group_IT_number 221
_space_group_name_Hall '-P 4 2 3'
loop_
_atom_site_label
_atom_site_type_symbol
_atom_site_fract_x
_atom_site_fract_y
_atom_site_fract_z
Re1 Re 0.000 0.000 0.000
H1 H 0.500 0.500 0.500
I1 I 0.000 0.500 0.500
# total DFT energy (no corrections): -2.324 eV/atom
# N(E_F): 0.7915 states/eV per atom

***

No. 3
# FeRuW2, relaxed, DFT PBE
data_FeRuW2
_cell_length_a 3.065
_cell_length_b 3.065
_cell_length_c 6.176
_cell_angle_alpha 90.00
_cell_angle_beta 90.00
_cell_angle_gamma 90.00
_space_group_name_H-M_alt 'P 4/m m m'
_space_group_IT_number 123
_space_group_name_Hall '-P 4 2'
loop_
_atom_site_label
_atom_site_type_symbol
_atom_site_fract_x
_atom_site_fract_y
_atom_site_fract_z
Fe1 Fe 0.000 0.000 0.000
Ru1 Ru 0.000 0.000 0.500
W1 W 0.500 0.500 0.229
# formation energy from the elements: 214 meV per atom
# N(E_F): 0.9232 states/eV per atom